No. 1
# AlSbTe2Rh

A relaxed structure of AlSbTe2Rh (PBE, Alexandria).

The value obtained for the magnetization is 0.0 μB per formula unit. Its polymorph energy (0 for the lowest one) is 0 meV/atom. For the total DFT energy (no corrections), the calculation gives -0.288 Ry per atom.

The space group is P4/mmm (No. 123) and the conventional cell measures 5.4423, 5.4423 and 4.9253 Å, with angles of 90.00, 90.00 and 90.00 degrees. Symmetry generates all atoms from Al at (0.0000, 0.0000, 0.0000), Sb at (0.5000, 0.5000, 0.0000), Te at (0.0000, 0.5000, 0.5000) and Rh at (0.5000, 0.5000, 0.5000).

***

No. 2
# AlSb2TeRh

A relaxed structure of AlSb2TeRh (PBE, Alexandria).

The value obtained for the magnetization is 0.0 μB per formula unit. Its polymorph energy (0 for the lowest one) is 479 meV/atom. For the total DFT energy (no corrections), the calculation gives -0.266 Ry per atom.

The space group is P4/mmm (No. 123) and the conventional cell measures 5.1208, 5.1208 and 5.1933 Å, with angles of 90.00, 90.00 and 90.00 degrees. Symmetry generates all atoms from Al at (0.0000, 0.0000, 0.0000), Sb at (0.0000, 0.5000, 0.0000), Te at (0.0000, 0.0000, 0.5000) and Rh at (0.5000, 0.5000, 0.5000).

***

No. 3
# AlSb2TeRh

A relaxed structure of AlSb2TeRh (PBE, Alexandria).

The value obtained for the magnetization is 0.0 μB per formula unit. Its polymorph energy (0 for the lowest one) is 0 meV/atom. For the total DFT energy (no corrections), the calculation gives -0.301 Ry per atom.

The space group is P4/mmm (No. 123) and the conventional cell measures 5.0237, 5.0237 and 5.7029 Å, with angles of 90.00, 90.00 and 90.00 degrees. Symmetry generates all atoms from Al at (0.0000, 0.0000, 0.0000), Sb at (0.0000, 0.5000, 0.5000), Te at (0.5000, 0.5000, 0.0000) and Rh at (0.5000, 0.5000, 0.5000).

***

No. 4
# AlSbTe2Rh

A relaxed structure of AlSbTe2Rh (PBE, Alexandria).

The value obtained for the magnetization is 0.0 μB per formula unit. Its polymorph energy (0 for the lowest one) is 452 meV/atom. For the total DFT energy (no corrections), the calculation gives -0.255 Ry per atom.

The space group is P4/mmm (No. 123) and the conventional cell measures 5.1948, 5.1948 and 5.1272 Å, with angles of 90.00, 90.00 and 90.00 degrees. Symmetry generates all atoms from Al at (0.0000, 0.0000, 0.0000), Sb at (0.0000, 0.0000, 0.5000), Te at (0.0000, 0.5000, 0.0000) and Rh at (0.5000, 0.5000, 0.5000).